MnZnO3 | PBE+U | relaxed

Energy ... -5.24 eV/atom

Lattice parameters (Å, degrees): 3.7829 3.7829 3.7829 90.00 90.00 90.00
Space group Pm-3m (No. 221)
Symmetry-distinct sites (fractional):
Mn (0.0000, 0.0000, 0.0000) x1
Zn (0.5000, 0.5000, 0.5000) x1
O (0.0000, 0.5000, 0.5000) x3